1.
4
Lattice="1.848 1.067 9.739 -1.848 1.067 9.739 0.000 -2.133 9.739" Properties=species:S:1:pos:R:3 comment="Ho2TmAu | Alexandria | PBE | optimized geometry" crystal_system=trigonal density_g_cm3=10.0 final_energy_ev_per_atom=-4.51 ef_ev_per_fu=-1.1 pbc="T T T"
Ho 0.000 0.000 0.000
Ho 0.000 0.000 5.629
Tm 0.000 0.000 12.568
Au 0.000 0.000 17.406

=====

2.
7
Lattice="2.491 1.438 8.238 -2.491 1.438 8.238 0.000 -2.876 8.238" Properties=species:S:1:pos:R:3 comment="Ho2Tm2Au3 | Alexandria | PBE | optimized geometry" crystal_system=trigonal density_g_cm3=11.8 final_energy_ev_per_atom=-4.70 ef_ev_per_fu=-5.0 pbc="T T T"
Ho 0.000 0.000 3.080
Ho 0.000 0.000 21.632
Tm 0.000 0.000 9.263
Tm 0.000 0.000 15.450
Au 0.000 0.000 0.000
Au 0.000 0.000 6.048
Au 0.000 0.000 18.664

=====

3.
11
Lattice="-2.408 3.794 7.795 2.408 -3.794 7.795 2.408 3.794 -7.795" Properties=species:S:1:pos:R:3 comment="Ho4Tm3Au4 | Alexandria | PBE | optimized geometry" crystal_system=orthorhombic density_g_cm3=11.4 final_energy_ev_per_atom=-4.62 ef_ev_per_fu=-6.0 pbc="T T T"
Ho 2.408 -2.149 5.099
Ho 0.000 1.645 2.696
Ho 2.408 2.149 5.099
Ho 0.000 5.942 2.696
Tm 2.408 0.000 0.000
Tm 0.000 0.000 6.208
Tm 0.000 0.000 9.382
Au 2.408 0.000 3.143
Au 0.000 2.361 0.000
Au 0.000 5.227 0.000
Au 0.000 3.794 4.652

=====

no.,V (Å³ per atom)
1,28.8
2,25.3
3,25.9